Density functional theory data (GGA-PBE) for LiCd2Tc after structural relaxation.

## Properties
**SG**: Cmm2
**Energy**: -3.2788 eV/atom
**ΔH_f (0 K)**: 1.0 eV per formula unit

abc: 2.778 2.778 9.544
angles: 90.00 90.00 105.87
Element x y z (fractional)
Cd 0.000 0.000 0.980
Cd 0.500 0.500 0.268
Li 0.000 0.000 0.515
Tc 0.500 0.500 0.737